Entry 1:
A plane-wave DFT calculation with PBE-GGA was carried out for a relaxed structure of MnTlMoOsCl.

Cell lengths 12.102, 3.013, 5.224 Å; angles 90.00, 90.42, 90.00 degrees
Positions (direct):
Tl: 0.456 0.500 0.092
Mn: 0.906 0.000 0.908
Mo: 0.239 0.000 0.915
Os: 0.074 0.500 0.745
Mo: 0.239 0.500 0.415
Tl: 0.456 0.000 0.592
Cl: 0.764 0.500 0.740
Os: 0.074 0.000 0.245
Cl: 0.764 0.000 0.240
Mn: 0.906 0.500 0.408

Summary:
- SG = Cm, No. 8
- final energy (eV/atom) = -6.902
- mass density (g/cm3) = 10.128

Entry 2:
A plane-wave DFT calculation with PBE-GGA was carried out for a relaxed structure of MnTlMoOsCl.

Cell lengths 3.112, 5.339, 6.216 Å; angles 92.46, 105.16, 94.41 degrees
Positions (direct):
Tl: 0.823 0.003 0.642
Os: 0.542 0.055 0.049
Mn: 0.414 0.515 0.958
Mo: 0.114 0.783 0.238
Cl: 0.250 0.488 0.553

Summary:
- SG = P1, No. 1
- final energy (eV/atom) = -6.608
- mass density (g/cm3) = 9.726

Entry 3:
A plane-wave DFT calculation with PBE-GGA was carried out for a relaxed structure of MnTlMoOsCl.

Cell lengths 3.060, 3.151, 10.074 Å; angles 90.15, 89.73, 90.00 degrees
Positions (direct):
Mn: 0.326 0.545 0.080
Cl: 0.823 0.545 0.260
Mo: 0.331 0.543 0.767
Tl: 0.834 0.041 0.549
Os: 0.829 0.044 0.905

Summary:
- SG = P1, No. 1
- final energy (eV/atom) = -6.986
- mass density (g/cm3) = 9.931

Entry 4:
A plane-wave DFT calculation with PBE-GGA was carried out for a relaxed structure of MnTlMoOsCl.

Cell lengths 3.060, 3.134, 10.945 Å; angles 90.00, 90.13, 90.00 degrees
Positions (direct):
Tl: 0.039 0.000 0.559
Cl: 0.044 0.000 0.251
Mo: 0.540 0.500 0.769
Mn: 0.543 0.000 0.089
Os: 0.041 0.000 0.893

Summary:
- SG = Pm, No. 6
- final energy (eV/atom) = -6.881
- mass density (g/cm3) = 9.190

Number 1: calculated volume 190.5 Å³/cell, offset from the most stable computed form 2.02 kcal/mol of atoms, raw formation energy 186 meV/atom. Number 2: calculated volume 99.2 Å³/cell, offset from the most stable computed form 8.81 kcal/mol of atoms, raw formation energy 481 meV/atom. Number 3: calculated volume 97.1 Å³/cell, offset from the most stable computed form 0.08 kcal/mol of atoms, raw formation energy 102 meV/atom. Number 4: calculated volume 105.0 Å³/cell, offset from the most stable computed form 2.52 kcal/mol of atoms, raw formation energy 208 meV/atom.